(1)
Material: Zn2Sn2AsP3
Method: DFT, PBE
State: optimized geometry

Cell and atoms, written as POSCAR:
```
Zn2Sn2AsP3
1.0
6.4307 -2.8704 0.0000
6.4307 2.8704 0.0000
-2.5605 0.0000 5.1421
Zn Sn As P
2 2 1 3
Direct
0.1291 0.1291 0.3694 Zn
0.8709 0.8709 0.6306 Zn
0.3598 0.3877 0.1187 Sn
0.6123 0.6402 0.8813 Sn
0.7688 0.2312 0.5000 As
0.2182 0.7818 0.0000 P
0.4914 0.0087 0.7302 P
0.9913 0.5086 0.2698 P
```

Summary:
Total DFT energy (no corrections) in eV per atom: -4.116

=====

(2)
Material: Sm2I2NCl
Method: DFT, PBE
State: optimized geometry

Cell and atoms, written as POSCAR:
```
Sm2I2NCl
1.0
9.6441 -2.0090 0.0000
9.6441 2.0090 0.0000
-7.0696 0.0000 9.5930
Sm I N Cl
4 4 2 2
Direct
0.0717 0.0717 0.4584 Sm
0.3609 0.3609 0.2079 Sm
0.6391 0.6391 0.7921 Sm
0.9283 0.9283 0.5416 Sm
0.2725 0.2725 0.3676 I
0.4674 0.4674 0.7790 I
0.5326 0.5326 0.2210 I
0.7275 0.7275 0.6324 I
0.0753 0.0753 0.6559 N
0.9247 0.9247 0.3441 N
0.1788 0.1788 0.0021 Cl
0.8212 0.8212 0.9979 Cl
```

Summary:
Energy relative to the lowest polymorph listed for this composition in meV per atom: 20.3

=====

(3)
Material: Hf2ZrGa3Cu2Ni
Method: DFT, PBE
State: optimized geometry

Cell and atoms, written as POSCAR:
```
Hf2ZrGa3Cu2Ni
1.0
3.9238 0.0000 0.0000
0.0000 5.6547 3.2396
0.0000 -5.6547 3.2396
Hf Zr Ga Cu Ni
2 1 3 2 1
Direct
0.0000 0.2056 0.7944 Hf
0.0000 0.7944 0.2056 Hf
0.0000 0.3823 0.3823 Zr
0.5000 0.0442 0.0442 Ga
0.5000 0.5465 0.7932 Ga
0.5000 0.7932 0.5465 Ga
0.5000 0.1245 0.4622 Cu
0.5000 0.4622 0.1245 Cu
0.0000 0.8003 0.8003 Ni
```

Summary:
Total DFT energy (no corrections) in eV per atom: -6.105

=====

(4)
Material: PrCdNO
Method: DFT, PBE
State: optimized geometry

Cell and atoms, written as POSCAR:
```
PrCdNO
1.0
6.3725 0.0000 0.0000
0.0000 7.5689 0.0000
0.0000 0.0000 6.2336
Pr Cd N O
4 4 4 4
Direct
0.0627 0.1465 0.0000 Pr
0.4373 0.1465 0.5000 Pr
0.5627 0.8535 0.0000 Pr
0.9373 0.8535 0.5000 Pr
0.0949 0.5938 0.0233 Cd
0.4051 0.5938 0.5233 Cd
0.5949 0.4062 0.0233 Cd
0.9051 0.4062 0.5233 Cd
0.0904 0.6261 0.6739 N
0.4096 0.6261 0.1739 N
0.5904 0.3739 0.6739 N
0.9096 0.3739 0.1739 N
0.1018 0.1052 0.6271 O
0.3982 0.1052 0.1271 O
0.6018 0.8948 0.6271 O
0.8982 0.8948 0.1271 O
```

Summary:
Energy relative to the lowest polymorph listed for this composition in meV per atom: 74.1

=====

(5)
Material: ScFeCuSn
Method: DFT, PBE
State: optimized geometry

Cell and atoms, written as POSCAR:
```
ScFeCuSn
1.0
0.0000 3.1704 3.1704
3.1704 0.0000 3.1704
3.1704 3.1704 0.0000
Sc Fe Cu Sn
1 1 1 1
Direct
0.0000 0.0000 0.0000 Sc
0.7500 0.7500 0.7500 Fe
0.2500 0.2500 0.2500 Cu
0.5000 0.5000 0.5000 Sn
```

Summary:
Energy relative to the lowest polymorph listed for this composition in meV per atom: 0.0

=====

(6)
Material: K4TbDy
Method: DFT, PBE
State: optimized geometry

Cell and atoms, written as POSCAR:
```
K4TbDy
1.0
7.3310 0.0000 0.0000
0.0000 1.9422 10.5942
0.0000 -1.9422 10.5942
K Tb Dy
4 1 1
Direct
0.0000 0.0000 0.0000 K
0.0000 0.3283 0.3283 K
0.0000 0.6568 0.6568 K
0.5000 0.8281 0.8281 K
0.5000 0.1412 0.1412 Tb
0.5000 0.5121 0.5121 Dy
```

Summary:
Total DFT energy (no corrections) in eV per atom: -1.821

=====

no.,volume (Å³ per cell)
1,189.83
2,371.72
3,143.76
4,300.66
5,63.73
6,301.69